Record 1
VASP calculation (GGA-PBE) on an optimized crystal structure of LaCoTe3.

Values from the calculation:
raw formation energy	-0.502	eV/atom
DOS(E_F)	0.98	states/eV per atom
calculated total energy	-23.97	eV per cell

abc: 5.109 5.109 5.109
angles: 90.00 90.00 90.00
Positions (direct):
Te: 0.500 0.000 0.000
Te: 0.000 0.500 0.000
Te: 0.000 0.000 0.500
Co: 0.000 0.000 0.000
La: 0.500 0.500 0.500

***

Record 2
VASP calculation (GGA-PBE) on an optimized crystal structure of Zn2CuTc.

Values from the calculation:
DOS(E_F)	0.58	states/eV per atom
formation energy from the elements	0.09	eV/atom
calculated total energy	-16.63	eV per cell

abc: 2.621 2.621 8.037
angles: 90.00 90.00 90.00
Positions (direct):
Zn: 0.000 0.000 0.000
Zn: 0.500 0.500 0.261
Tc: 0.500 0.500 0.743
Cu: 0.000 0.000 0.496

***

Record 3
VASP calculation (GGA-PBE) on an optimized crystal structure of Y3Os.

Values from the calculation:
DOS(E_F)	1.04	states/eV per atom
formation energy from the elements	-0.08	eV/atom
calculated total energy	-30.96	eV per cell

abc: 3.410 3.410 9.317
angles: 90.00 90.00 90.02
Positions (direct):
Y: 0.500 0.500 0.821
Y: 0.500 0.500 0.179
Y: 0.000 0.000 0.500
Os: 0.000 0.000 0.000

***

Record 4
VASP calculation (GGA-PBE) on an optimized crystal structure of Tb2Nd7Tm.

Values from the calculation:
DOS(E_F)	1.51	states/eV per atom
formation energy from the elements	0.64	eV/atom
calculated total energy	-40.75	eV per cell

abc: 5.583 9.482 9.482
angles: 124.64 90.00 90.00
Positions (direct):
Nd: 0.000 0.787 0.213
Nd: 0.500 0.290 0.068
Nd: 0.000 0.213 0.787
Nd: 0.500 0.500 0.500
Nd: 0.500 0.932 0.710
Nd: 0.500 0.710 0.932
Nd: 0.500 0.068 0.290
Tb: 0.500 0.294 0.706
Tb: 0.500 0.706 0.294
Tm: 0.000 0.000 0.000

***

Record 5
VASP calculation (GGA-PBE) on an optimized crystal structure of Tb2Pm3NdDy6.

Values from the calculation:
DOS(E_F)	1.22	states/eV per atom
formation energy from the elements	0.01	eV/atom
calculated total energy	-55.73	eV per cell

abc: 6.211 6.211 11.841
angles: 95.00 95.00 119.98
Positions (direct):
Dy: 0.083 0.417 0.249
Dy: 0.417 0.083 0.249
Dy: 0.749 0.749 0.249
Dy: 0.251 0.251 0.751
Dy: 0.917 0.583 0.751
Dy: 0.583 0.917 0.751
Pm: 0.167 0.833 0.500
Pm: 0.833 0.167 0.500
Pm: 0.500 0.500 0.500
Tb: 0.667 0.333 0.000
Tb: 0.333 0.667 0.000
Nd: 0.000 0.000 0.000

***

Record 6
VASP calculation (GGA-PBE) on an optimized crystal structure of TcGe6Ir.

Values from the calculation:
DOS(E_F)	0.21	states/eV per atom
formation energy from the elements	0.06	eV/atom
calculated total energy	-46.44	eV per cell

abc: 4.840 5.386 7.242
angles: 66.03 70.49 64.18
Positions (direct):
Ge: 0.366 0.970 0.203
Ge: 0.634 0.030 0.797
Ge: 0.662 0.243 0.255
Ge: 0.049 0.522 0.299
Ge: 0.951 0.478 0.701
Ge: 0.338 0.757 0.745
Tc: 0.500 0.500 0.500
Ir: 0.000 0.000 0.000

***

Which formula does entry 2 have?
Zn2CuTc